Compound: SbTe2RhBr
Source: Alexandria
Functional: GGA-PBEsol
Structure: relaxed

Lattice parameters (Å, degrees): 5.3037 5.3037 5.4000 90.00 90.00 90.00
Closest atoms and distances in Å follow each position.
Atoms (fractional coordinates):
Sb 0.0000 0.0000 0.0000  2 Br 2.70
Te 0.0000 0.5000 0.5000  2 Br 2.65
Te 0.5000 0.0000 0.5000  2 Br 2.65
Rh 0.5000 0.5000 0.0000  4 Sb 3.75, 8 Te 3.78
Br 0.0000 0.0000 0.5000  4 Te 2.65, 2 Sb 2.70

Results
Uncorrected formation energy, eV/atom: 1.478
Total moment, μB per atom: 0.239
Crystal system: tetragonal